1.
Entry from Alexandria via LeMat-Bulk: a relaxed structure of Cr4OsCl (PBE-GGA).

Output
D(E_F) ... 9.08 states/eV per cell
Crystal system ... cubic
Magnetization ... 0.00 μB per formula unit
Raw formation energy ... 82.5 kJ per mole of atoms
Symmetry ... F-43m, No. 216
Electronic total energy ... -7.740 eV per atom

abc: 4.814 4.814 4.814
angles: 60.00 60.00 60.00
Positions (direct):
Os 0.250 0.250 0.250
Cl 0.000 0.000 0.000
Cr 0.626 0.626 0.123
Cr 0.123 0.626 0.626
Cr 0.626 0.123 0.626
Cr 0.626 0.626 0.626

2.
Entry from Alexandria via LeMat-Bulk: a relaxed structure of SmTiClO3 (PBE-GGA).

Output
D(E_F) ... 0.00 states/eV per cell
Crystal system ... monoclinic
Magnetization ... 0.00 μB per formula unit
Raw formation energy ... -295.1 kJ per mole of atoms
Symmetry ... C2/m, No. 12
Electronic total energy ... -7.948 eV per atom

abc: 5.320 5.320 10.157
angles: 74.82 74.82 43.87
Positions (direct):
O 0.575 0.575 0.379
O 0.351 0.351 0.258
O 0.831 0.831 0.438
O 0.169 0.169 0.562
O 0.649 0.649 0.742
O 0.425 0.425 0.621
Ti 0.379 0.379 0.433
Ti 0.621 0.621 0.567
Sm 0.778 0.778 0.206
Sm 0.222 0.222 0.794
Cl 0.114 0.114 0.095
Cl 0.886 0.886 0.905

3.
Entry from Alexandria via LeMat-Bulk: a relaxed structure of Sm2Tm2Tl3 (PBE-GGA).

Output
D(E_F) ... 6.97 states/eV per cell
Crystal system ... orthorhombic
Magnetization ... 0.00 μB per formula unit
Energy of formation from the pure elements ... -217 meV/atom
Symmetry ... Cmmm, No. 65
Electronic total energy ... -3.857 eV per atom

abc: 3.512 3.582 16.226
angles: 90.00 83.79 90.00
Positions (direct):
Tl 0.000 0.000 0.000
Tl 0.861 0.000 0.279
Tl 0.139 0.000 0.721
Tm 0.703 0.500 0.594
Tm 0.297 0.500 0.406
Sm 0.570 0.500 0.861
Sm 0.430 0.500 0.139

4.
Entry from Alexandria via LeMat-Bulk: a relaxed structure of Pa3Tl4GeO12 (PBE-GGA).

Output
D(E_F) ... 6.56 states/eV per cell
Crystal system ... cubic
Magnetization ... 0.00 μB per formula unit
Raw formation energy ... -217.6 kJ per mole of atoms
Symmetry ... Im-3m, No. 229
Electronic total energy ... -7.358 eV per atom

abc: 7.428 7.428 7.428
angles: 109.47 109.47 109.47
Positions (direct):
O 0.236 0.236 0.000
O 0.500 0.250 0.750
O 0.500 0.750 0.250
O 0.764 0.764 0.000
O 0.750 0.250 0.500
O 0.236 0.000 0.236
O 0.250 0.500 0.750
O 0.000 0.236 0.236
O 0.764 0.000 0.764
O 0.750 0.500 0.250
O 0.000 0.764 0.764
O 0.250 0.750 0.500
Pa 0.500 0.500 0.000
Pa 0.500 0.000 0.500
Pa 0.000 0.500 0.500
Tl 0.500 0.500 0.500
Tl 0.000 0.000 0.500
Tl 0.000 0.500 0.000
Tl 0.500 0.000 0.000
Ge 0.000 0.000 0.000

5.
Entry from Alexandria via LeMat-Bulk: a relaxed structure of YSi3Pb (PBE-GGA).

Output
D(E_F) ... 4.04 states/eV per cell
Crystal system ... cubic
Magnetization ... 0.00 μB per formula unit
Raw formation energy ... 103.7 kJ per mole of atoms
Symmetry ... Pm-3m, No. 221
Electronic total energy ... -4.213 eV per atom

abc: 5.198 5.198 5.198
angles: 90.00 90.00 90.00
Positions (direct):
Y 0.500 0.500 0.500
Pb 0.000 0.000 0.000
Si 0.000 0.000 0.500
Si 0.500 0.000 0.000
Si 0.000 0.500 0.000

6.
Entry from Alexandria via LeMat-Bulk: a relaxed structure of PmZn10Cu2 (PBE-GGA).

Output
D(E_F) ... 4.03 states/eV per cell
Crystal system ... orthorhombic
Magnetization ... 0.00 μB per formula unit
Energy of formation from the pure elements ... -196 meV/atom
Symmetry ... Fmmm, No. 69
Electronic total energy ... -2.172 eV per atom

abc: 4.980 6.826 6.855
angles: 82.39 68.70 68.61
Positions (direct):
Zn 0.500 0.000 0.500
Zn 0.720 0.775 0.786
Zn 0.009 0.639 0.344
Zn 0.280 0.225 0.214
Zn 0.000 0.000 0.500
Zn 0.353 0.639 0.656
Zn 0.991 0.361 0.656
Zn 0.506 0.775 0.214
Zn 0.494 0.225 0.786
Zn 0.647 0.361 0.344
Pm 0.000 0.000 0.000
Cu 0.000 0.500 0.000
Cu 0.500 0.500 0.000

- The lowest D(E_F) belongs to which entry?
  SmTiClO3

Repeat the sixth record exactly.
Entry from Alexandria via LeMat-Bulk: a relaxed structure of PmZn10Cu2 (PBE-GGA).

Output
D(E_F) ... 4.03 states/eV per cell
Crystal system ... orthorhombic
Magnetization ... 0.00 μB per formula unit
Energy of formation from the pure elements ... -196 meV/atom
Symmetry ... Fmmm, No. 69
Electronic total energy ... -2.172 eV per atom

abc: 4.980 6.826 6.855
angles: 82.39 68.70 68.61
Positions (direct):
Zn 0.500 0.000 0.500
Zn 0.720 0.775 0.786
Zn 0.009 0.639 0.344
Zn 0.280 0.225 0.214
Zn 0.000 0.000 0.500
Zn 0.353 0.639 0.656
Zn 0.991 0.361 0.656
Zn 0.506 0.775 0.214
Zn 0.494 0.225 0.786
Zn 0.647 0.361 0.344
Pm 0.000 0.000 0.000
Cu 0.000 0.500 0.000
Cu 0.500 0.500 0.000